Here is a relaxed LaFeAu3 crystal from Alexandria via LeMat-Bulk. Energies are from PBE-GGA.

a = 4.9015 Å, b = 4.9015 Å, c = 4.9015 Å
α = 90.00°, β = 90.00°, γ = 90.00°
Space group Pm-3m (No. 221)
One atom of each set of equivalent atoms:
La 0.0000 0.0000 0.0000
Fe 0.5000 0.5000 0.5000
Au 0.0000 0.5000 0.5000

Its crystal system is cubic. The energy of formation comes out at -0.121 eV per atom. The magnetic moment comes out at 0.593 μB/atom. As for the polymorph energy (0 for the lowest one): 0.0 kJ/mol of atoms.